This record from Alexandria via LeMat-Bulk describes a relaxed KCu6Cl12 crystal. The functional is PBE.

SG ... R-3
Electronic total energy ... -3.17 eV per atom
Raw formation energy ... -12.3 eV/f.u.
D(E_F) ... 0.4342 states/eV per atom

abc: 9.4179 9.4179 9.4179
angles: 114.56 114.56 114.56
Site moments in Bohr magnetons follow the coordinates.
Fractional coordinates of all 19 atoms:
K 0.0000 0.0000 0.0000  0.00
Cu 0.2544 0.2507 0.7493  0.45
Cu 0.7493 0.2507 0.7456  0.45
Cu 0.2507 0.7456 0.7493  0.45
Cu 0.7456 0.7493 0.2507  0.45
Cu 0.2507 0.7493 0.2544  0.45
Cu 0.7493 0.2544 0.2507  0.45
Cl 0.3997 0.0979 0.5178  0.17
Cl 0.0979 0.5178 0.3997  0.17
Cl 0.5178 0.3997 0.0979  0.17
Cl 0.6003 0.9021 0.4822  0.17
Cl 0.9021 0.4822 0.6003  0.17
Cl 0.4822 0.6003 0.9021  0.17
Cl 0.0147 0.9042 0.6034  0.15
Cl 0.3966 0.9853 0.0958  0.15
Cl 0.0958 0.3966 0.9853  0.15
Cl 0.9853 0.0958 0.3966  0.15
Cl 0.6034 0.0147 0.9042  0.15
Cl 0.9042 0.6034 0.0147  0.15

This record from Alexandria via LeMat-Bulk describes a relaxed KCu3Cl4 crystal. The functional is PBE.

SG ... P2/m
Electronic total energy ... -3.36 eV per atom
Raw formation energy ... -6.1 eV/f.u.
D(E_F) ... 0.0000 states/eV per atom

abc: 4.2943 7.8955 8.3482
angles: 123.14 90.00 90.00
Fractional coordinates of all 8 atoms:
K 0.5000 0.0000 0.0000
Cu 0.0000 0.5000 0.0000
Cu 0.0000 0.2555 0.5434
Cu 0.0000 0.7445 0.4566
Cl 0.0000 0.4363 0.2178
Cl 0.0000 0.5637 0.7822
Cl 0.0000 0.0204 0.7307
Cl 0.0000 0.9796 0.2693